Entry 1:
# PBE Mg3ZrNi, relaxed
data_Mg3ZrNi
_chemical_formula_sum 'Mg3 Zr1 Ni1'
_cell_length_a 5.492
_cell_length_b 5.492
_cell_length_c 5.492
_cell_angle_alpha 90.00
_cell_angle_beta 90.00
_cell_angle_gamma 90.00
_symmetry_space_group_name_H-M 'P m -3 m'
_symmetry_Int_Tables_number 221
_symmetry_space_group_name_Hall '-P 4 2 3'
loop_
_atom_site_label
_atom_site_type_symbol
_atom_site_fract_x
_atom_site_fract_y
_atom_site_fract_z
_atom_site_occupancy
Mg1 Mg 0.000 0.000 0.500 1
Zr1 Zr 0.000 0.000 0.000 1
Ni1 Ni 0.500 0.500 0.500 1
# Formation energy from the elements: 1655 meV per atom

***

Entry 2:
# PBE Tb4SmHo2Mg, relaxed
data_Tb4SmHo2Mg
_chemical_formula_sum 'Tb4 Sm1 Ho2 Mg1'
_cell_length_a 4.961
_cell_length_b 4.973
_cell_length_c 10.003
_cell_angle_alpha 90.00
_cell_angle_beta 90.00
_cell_angle_gamma 90.00
_symmetry_space_group_name_H-M 'P m m m'
_symmetry_Int_Tables_number 47
loop_
_symmetry_equiv_pos_as_xyz
'x,y,z'
'-x,-y,-z'
'-x,-y,z'
'x,y,-z'
'x,-y,-z'
'-x,y,z'
'-x,y,-z'
'x,-y,z'
loop_
_atom_site_label
_atom_site_type_symbol
_atom_site_fract_x
_atom_site_fract_y
_atom_site_fract_z
_atom_site_occupancy
Tb1 Tb 0.000 0.000 0.246 1
Tb2 Tb 0.500 0.500 0.246 1
Sm1 Sm 0.000 0.500 0.500 1
Ho1 Ho 0.000 0.500 0.000 1
Ho2 Ho 0.500 0.000 0.500 1
Mg1 Mg 0.500 0.000 0.000 1
# Formation energy from the elements: 17 meV per atom

***

Entry 3:
# PBE CuAu3N, relaxed
data_CuAu3N
_chemical_formula_sum 'Cu1 Au3 N1'
_cell_length_a 4.354
_cell_length_b 4.354
_cell_length_c 4.354
_cell_angle_alpha 90.00
_cell_angle_beta 90.00
_cell_angle_gamma 90.00
_symmetry_space_group_name_H-M 'P m -3 m'
_symmetry_Int_Tables_number 221
_symmetry_space_group_name_Hall '-P 4 2 3'
loop_
_atom_site_label
_atom_site_type_symbol
_atom_site_fract_x
_atom_site_fract_y
_atom_site_fract_z
_atom_site_occupancy
Cu1 Cu 0.000 0.000 0.000 1
Au1 Au 0.000 0.500 0.500 1
N1 N 0.500 0.500 0.500 1
# Raw formation energy: 0.83 eV per atom

***

The records above yield DOS at the Fermi energy values of 7.31, 11.46, 1.96 states/eV per cell, respectively.
The records above yield density values of 2.2, 7.7, 13.4 Mg/m³, respectively.